A plane-wave DFT calculation with PBE was carried out for an optimized crystal structure of MoI3Br2.

## Properties
- relative energy among the computed polymorphs (eV/atom) = 0.002

Structure (CIF):
```
data_MoI3Br2
_space_group_name_H-M_alt 'P -1'
_space_group_IT_number 2
_cell_length_a 6.741
_cell_length_b 7.334
_cell_length_c 10.120
_cell_angle_alpha 106.91
_cell_angle_beta 91.40
_cell_angle_gamma 114.83
loop_
_space_group_symop_operation_xyz
'x,y,z'
'-x,-y,-z'
loop_
_atom_site_label
_atom_site_type_symbol
_atom_site_fract_x
_atom_site_fract_y
_atom_site_fract_z
_atom_site_occupancy
Mo1 Mo 0.106 0.216 0.216 1
I1 I 0.083 0.812 0.559 1
I2 I 0.256 0.188 0.952 1
I3 I 0.459 0.580 0.340 1
Br1 Br 0.112 0.618 0.854 1
Br2 Br 0.297 0.003 0.249 1
```

---

A plane-wave DFT calculation with PBE was carried out for an optimized crystal structure of MoI3Br2.

## Properties
- relative energy among the computed polymorphs (eV/atom) = 0.000

Structure (CIF):
```
data_MoI3Br2
_space_group_name_H-M_alt 'P -1'
_space_group_IT_number 2
_cell_length_a 6.893
_cell_length_b 7.395
_cell_length_c 10.034
_cell_angle_alpha 109.26
_cell_angle_beta 91.16
_cell_angle_gamma 117.11
loop_
_space_group_symop_operation_xyz
'x,y,z'
'-x,-y,-z'
loop_
_atom_site_label
_atom_site_type_symbol
_atom_site_fract_x
_atom_site_fract_y
_atom_site_fract_z
_atom_site_occupancy
Mo1 Mo 0.107 0.213 0.214 1
I1 I 0.069 0.812 0.558 1
I2 I 0.130 0.611 0.852 1
I3 I 0.327 0.005 0.247 1
Br1 Br 0.227 0.179 0.956 1
Br2 Br 0.441 0.573 0.326 1
```

---

A plane-wave DFT calculation with PBE was carried out for an optimized crystal structure of Nd2I2BrN.

## Properties
- relative energy among the computed polymorphs (eV/atom) = 0.013

Structure (CIF):
```
data_Nd2I2BrN
_space_group_name_H-M_alt 'C 1 2/m 1'
_space_group_IT_number 12
_cell_length_a 19.421
_cell_length_b 4.099
_cell_length_c 12.250
_cell_angle_alpha 90.00
_cell_angle_beta 125.34
_cell_angle_gamma 90.00
loop_
_space_group_symop_operation_xyz
'x,y,z'
'-x,-y,-z'
'-x,y,-z'
'x,-y,z'
'x+1/2,y+1/2,z'
'-x+1/2,-y+1/2,-z'
'-x+1/2,y+1/2,-z'
'x+1/2,-y+1/2,z'
loop_
_atom_site_label
_atom_site_type_symbol
_atom_site_fract_x
_atom_site_fract_y
_atom_site_fract_z
_atom_site_occupancy
Nd1 Nd 0.074 0.000 0.460 1
Nd2 Nd 0.136 0.500 0.785 1
I1 I 0.037 0.500 0.231 1
I2 I 0.227 0.500 0.630 1
Br1 Br 0.172 0.000 0.004 1
N1 N 0.074 0.000 0.652 1
```

---

A plane-wave DFT calculation with PBE was carried out for an optimized crystal structure of Nd4IBrN2.

Structure (CIF):
```
data_Nd4IBrN2
_space_group_name_H-M_alt 'P -6 m 2'
_space_group_IT_number 187
_space_group_name_Hall 'P -6 2'
_cell_length_a 3.7547
_cell_length_b 3.7547
_cell_length_c 14.9048
_cell_angle_alpha 90.00
_cell_angle_beta 90.00
_cell_angle_gamma 120.00
loop_
_atom_site_label
_atom_site_type_symbol
_atom_site_fract_x
_atom_site_fract_y
_atom_site_fract_z
_atom_site_occupancy
Nd1 Nd 0.0000 0.0000 0.1561 1
Nd2 Nd 0.6667 0.3333 0.3325 1
I1 I 0.0000 0.0000 0.5000 1
Br1 Br 0.6667 0.3333 0.0000 1
N1 N 0.3333 0.6667 0.2404 1
```

---

A plane-wave DFT calculation with PBE was carried out for an optimized crystal structure of Nd2I2BrN.

## Properties
- relative energy among the computed polymorphs (eV/atom) = 0.000

Structure (CIF):
```
data_Nd2I2BrN
_space_group_name_H-M_alt 'C 1 2/m 1'
_space_group_IT_number 12
_cell_length_a 18.814
_cell_length_b 4.112
_cell_length_c 12.142
_cell_angle_alpha 90.00
_cell_angle_beta 122.94
_cell_angle_gamma 90.00
loop_
_space_group_symop_operation_xyz
'x,y,z'
'-x,-y,-z'
'-x,y,-z'
'x,-y,z'
'x+1/2,y+1/2,z'
'-x+1/2,-y+1/2,-z'
'-x+1/2,y+1/2,-z'
'x+1/2,-y+1/2,z'
loop_
_atom_site_label
_atom_site_type_symbol
_atom_site_fract_x
_atom_site_fract_y
_atom_site_fract_z
_atom_site_occupancy
Nd1 Nd 0.077 0.000 0.462 1
Nd2 Nd 0.130 0.500 0.777 1
I1 I 0.049 0.500 0.240 1
I2 I 0.163 0.000 0.016 1
Br1 Br 0.211 0.500 0.617 1
N1 N 0.070 0.000 0.650 1
```

---

A plane-wave DFT calculation with PBE was carried out for an optimized crystal structure of NdPuI2BrN.

Structure (CIF):
```
data_NdPuI2BrN
_space_group_name_H-M_alt 'C 1 2/m 1'
_space_group_IT_number 12
_cell_length_a 19.275
_cell_length_b 4.013
_cell_length_c 12.372
_cell_angle_alpha 90.00
_cell_angle_beta 124.91
_cell_angle_gamma 90.00
loop_
_space_group_symop_operation_xyz
'x,y,z'
'-x,-y,-z'
'-x,y,-z'
'x,-y,z'
'x+1/2,y+1/2,z'
'-x+1/2,-y+1/2,-z'
'-x+1/2,y+1/2,-z'
'x+1/2,-y+1/2,z'
loop_
_atom_site_label
_atom_site_type_symbol
_atom_site_fract_x
_atom_site_fract_y
_atom_site_fract_z
_atom_site_occupancy
Nd1 Nd 0.074 0.000 0.460 1
Pu1 Pu 0.130 0.500 0.772 1
I1 I 0.162 0.000 0.003 1
I2 I 0.228 0.500 0.627 1
Br1 Br 0.036 0.500 0.255 1
N1 N 0.077 0.000 0.654 1
```

---

A plane-wave DFT calculation with PBE was carried out for an optimized crystal structure of NdSmI2BrN.

## Properties
- relative energy among the computed polymorphs (eV/atom) = 0.019

Structure (CIF):
```
data_NdSmI2BrN
_space_group_name_H-M_alt 'C 1 2/m 1'
_space_group_IT_number 12
_cell_length_a 18.776
_cell_length_b 4.069
_cell_length_c 12.072
_cell_angle_alpha 90.00
_cell_angle_beta 123.05
_cell_angle_gamma 90.00
loop_
_space_group_symop_operation_xyz
'x,y,z'
'-x,-y,-z'
'-x,y,-z'
'x,-y,z'
'x+1/2,y+1/2,z'
'-x+1/2,-y+1/2,-z'
'-x+1/2,y+1/2,-z'
'x+1/2,-y+1/2,z'
loop_
_atom_site_label
_atom_site_type_symbol
_atom_site_fract_x
_atom_site_fract_y
_atom_site_fract_z
_atom_site_occupancy
Nd1 Nd 0.077 0.000 0.462 1
Sm1 Sm 0.129 0.500 0.776 1
I1 I 0.048 0.500 0.237 1
I2 I 0.164 0.000 0.017 1
Br1 Br 0.212 0.500 0.619 1
N1 N 0.071 0.000 0.651 1
```

---

A plane-wave DFT calculation with PBE was carried out for an optimized crystal structure of NdSmI2BrN.

## Properties
- relative energy among the computed polymorphs (eV/atom) = 0.000

Structure (CIF):
```
data_NdSmI2BrN
_space_group_name_H-M_alt 'C 1 2/m 1'
_space_group_IT_number 12
_cell_length_a 18.760
_cell_length_b 4.089
_cell_length_c 12.074
_cell_angle_alpha 90.00
_cell_angle_beta 122.88
_cell_angle_gamma 90.00
loop_
_space_group_symop_operation_xyz
'x,y,z'
'-x,-y,-z'
'-x,y,-z'
'x,-y,z'
'x+1/2,y+1/2,z'
'-x+1/2,-y+1/2,-z'
'-x+1/2,y+1/2,-z'
'x+1/2,-y+1/2,z'
loop_
_atom_site_label
_atom_site_type_symbol
_atom_site_fract_x
_atom_site_fract_y
_atom_site_fract_z
_atom_site_occupancy
Nd1 Nd 0.130 0.000 0.277 1
Sm1 Sm 0.076 0.500 0.962 1
I1 I 0.050 0.000 0.743 1
I2 I 0.163 0.500 0.518 1
Br1 Br 0.209 0.000 0.114 1
N1 N 0.070 0.500 0.148 1
```

---

A plane-wave DFT calculation with PBE was carried out for an optimized crystal structure of NdSmI2BrN.

## Properties
- relative energy among the computed polymorphs (eV/atom) = 0.014

Structure (CIF):
```
data_NdSmI2BrN
_space_group_name_H-M_alt 'C 1 2/m 1'
_space_group_IT_number 12
_cell_length_a 19.399
_cell_length_b 4.078
_cell_length_c 12.222
_cell_angle_alpha 90.00
_cell_angle_beta 125.44
_cell_angle_gamma 90.00
loop_
_space_group_symop_operation_xyz
'x,y,z'
'-x,-y,-z'
'-x,y,-z'
'x,-y,z'
'x+1/2,y+1/2,z'
'-x+1/2,-y+1/2,-z'
'-x+1/2,y+1/2,-z'
'x+1/2,-y+1/2,z'
loop_
_atom_site_label
_atom_site_type_symbol
_atom_site_fract_x
_atom_site_fract_y
_atom_site_fract_z
_atom_site_occupancy
Nd1 Nd 0.136 0.000 0.284 1
Sm1 Sm 0.072 0.500 0.960 1
I1 I 0.038 0.000 0.734 1
I2 I 0.225 0.000 0.127 1
Br1 Br 0.172 0.500 0.504 1
N1 N 0.073 0.500 0.150 1
```

---

A plane-wave DFT calculation with PBE was carried out for an optimized crystal structure of Nd2Sm2IBr4N2.

Structure (CIF):
```
data_Nd2Sm2IBr4N2
_space_group_name_H-M_alt 'C 1 2/m 1'
_space_group_IT_number 12
_cell_length_a 18.870
_cell_length_b 3.792
_cell_length_c 8.598
_cell_angle_alpha 90.00
_cell_angle_beta 105.03
_cell_angle_gamma 90.00
loop_
_space_group_symop_operation_xyz
'x,y,z'
'-x,-y,-z'
'-x,y,-z'
'x,-y,z'
'x+1/2,y+1/2,z'
'-x+1/2,-y+1/2,-z'
'-x+1/2,y+1/2,-z'
'x+1/2,-y+1/2,z'
loop_
_atom_site_label
_atom_site_type_symbol
_atom_site_fract_x
_atom_site_fract_y
_atom_site_fract_z
_atom_site_occupancy
Nd1 Nd 0.001 0.000 0.189 1
Sm1 Sm 0.160 0.500 0.096 1
I1 I 0.000 0.500 0.500 1
Br1 Br 0.163 0.000 0.363 1
Br2 Br 0.170 0.000 0.828 1
N1 N 0.038 0.500 0.021 1
```

---

no.,E_tot (eV/atom)
1,-3.37
2,-3.37
3,-5.33
4,-6.18
5,-5.35
6,-6.74
7,-5.33
8,-5.35
9,-5.34
10,-5.40